1.
Entry from the Open Quantum Materials Database: an optimized crystal structure of HgB4Pb (PBE-GGA).

Cell: 3.1362 3.1362 9.1670 Å, 90.00 90.00 120.00°
Last column: nearest neighbours and their distance in Å.
Sites, in units of the cell vectors:
Hg  0.0000  0.0000  0.0000  12 B 2.82, 6 Hg 3.14
B  0.3333  0.6667  0.2353  3 B 1.81
B  0.3333  0.6667  0.7647  3 B 1.81
B  0.6667  0.3333  0.2353  3 B 1.81
B  0.6667  0.3333  0.7647  3 B 1.81
Pb  0.0000  0.0000  0.5000  12 B 3.03, 6 Pb 3.14

Calculated values
- E above lowest polymorph: 25 meV per atom
- Space-group type: No. 191
- E_tot: -4.39 eV per atom


2.
Entry from the Open Quantum Materials Database: an optimized crystal structure of Hg2B2Pb3 (PBE-GGA).

Cell: 12.3486 12.3486 12.3486 Å, 18.24 18.24 18.24°
Last column: nearest neighbours and their distance in Å.
Sites, in units of the cell vectors:
Hg  0.0000  0.0000  0.0000  3 B 2.46
Hg  0.3895  0.3895  0.3895  3 Hg 3.05, 3 Pb 3.29
B  0.1575  0.1575  0.1575  6 Pb 2.61
B  0.6402  0.6402  0.6402  3 Hg 2.46, 3 Pb 2.66
Pb  0.2686  0.2686  0.2686  3 B 2.66
Pb  0.5266  0.5266  0.5266  3 B 2.61
Pb  0.7885  0.7885  0.7885  3 B 2.61

Calculated values
- Space-group type: No. 160
- E_tot: -2.87 eV per atom


3.
Entry from the Open Quantum Materials Database: an optimized crystal structure of HgBPb2 (PBE-GGA).

Cell: 5.1966 5.1966 5.1966 Å, 60.00 60.00 60.00°
Last column: nearest neighbours and their distance in Å.
Sites, in units of the cell vectors:
Hg  0.0000  0.0000  0.0000  4 B 3.18, 4 Pb 3.18
B  0.7500  0.7500  0.7500  4 Hg 3.18, 4 Pb 3.18
Pb  0.2500  0.2500  0.2500  4 Hg 3.18, 4 Pb 3.18
Pb  0.5000  0.5000  0.5000  4 Pb 3.18, 4 B 3.18

Calculated values
- Space-group type: No. 216
- E_tot: -2.58 eV per atom


4.
Entry from the Open Quantum Materials Database: an optimized crystal structure of HgB4Pb (PBE-GGA).

Cell: 5.6724 5.6724 5.6724 Å, 147.99 123.48 66.44°
Last column: nearest neighbours and their distance in Å.
Sites, in units of the cell vectors:
Hg  0.0000  0.0000  0.0000  12 B 2.96-2.99, 4 Pb 3.11, 2 Hg 3.13
B  0.0821  0.7511  0.3310  3 B 1.79-1.82
B  0.4202  0.7511  0.6690  3 B 1.79-1.82
B  0.5798  0.2489  0.3310  3 B 1.79-1.82
B  0.9179  0.2489  0.6690  3 B 1.79-1.82
Pb  0.5000  0.5000  0.0000  12 B 2.97, 4 Hg 3.11, 2 Pb 3.13

Calculated values
- E above lowest polymorph: 0 meV per atom
- Space-group type: No. 71
- E_tot: -4.41 eV per atom


5.
Entry from the Open Quantum Materials Database: an optimized crystal structure of HgBPb (PBE-GGA).

Cell: 4.7440 4.7440 4.7440 Å, 60.00 60.00 60.00°
Last column: nearest neighbours and their distance in Å.
Sites, in units of the cell vectors:
Hg  0.0000  0.0000  0.0000  4 Pb 2.91
B  0.5000  0.5000  0.5000  4 Pb 2.91
Pb  0.7500  0.7500  0.7500  4 B 2.91, 4 Hg 2.91

Calculated values
- E above lowest polymorph: 355 meV per atom
- Space-group type: No. 216
- E_tot: -2.20 eV per atom


6.
Entry from the Open Quantum Materials Database: an optimized crystal structure of HgB2Pb (PBE-GGA).

Cell: 4.7267 4.7267 4.7267 Å, 60.00 60.00 60.00°
Last column: nearest neighbours and their distance in Å.
Sites, in units of the cell vectors:
Hg  0.0000  0.0000  0.0000  4 Pb 2.89, 4 B 2.89
B  0.2500  0.2500  0.2500  4 Hg 2.89, 4 B 2.89
B  0.5000  0.5000  0.5000  4 Pb 2.89, 4 B 2.89
Pb  0.7500  0.7500  0.7500  4 Hg 2.89, 4 B 2.89

Calculated values
- Space-group type: No. 216
- E_tot: -2.46 eV per atom


7.
Entry from the Open Quantum Materials Database: an optimized crystal structure of HgBPb (PBE-GGA).

Cell: 4.5139 4.5139 4.5139 Å, 60.00 60.00 60.00°
Last column: nearest neighbours and their distance in Å.
Sites, in units of the cell vectors:
Hg  0.0000  0.0000  0.0000  4 B 2.76
B  0.2500  0.2500  0.2500  4 Hg 2.76, 4 Pb 2.76
Pb  0.5000  0.5000  0.5000  4 B 2.76

Calculated values
- E above lowest polymorph: 0 meV per atom
- Space-group type: No. 216
- E_tot: -2.56 eV per atom


8.
Entry from the Open Quantum Materials Database: an optimized crystal structure of Tm4HgB2Pb (PBE-GGA).

Cell: 3.7008 3.7008 15.7273 Å, 90.00 90.00 120.00°
Last column: nearest neighbours and their distance in Å.
Sites, in units of the cell vectors:
Tm  0.0000  0.0000  0.1552  3 B 2.53
Tm  0.0000  0.0000  0.8448  3 B 2.53
Tm  0.6667  0.3333  0.3328  3 B 2.57
Tm  0.6667  0.3333  0.6672  3 B 2.57
Hg  0.6667  0.3333  0.0000  6 Tm 3.24
B  0.3333  0.6667  0.2416  6 Tm 2.53-2.57
B  0.3333  0.6667  0.7584  6 Tm 2.53-2.57
Pb  0.0000  0.0000  0.5000  6 Tm 3.39, 6 Pb 3.70

Calculated values
- Space-group type: No. 187
- E_tot: -4.60 eV per atom


9.
Entry from the Open Quantum Materials Database: an optimized crystal structure of Hg2BPd (PBE-GGA).

Cell: 4.6063 4.6063 4.6063 Å, 60.00 60.00 60.00°
Last column: nearest neighbours and their distance in Å.
Sites, in units of the cell vectors:
Hg  0.0000  0.0000  0.0000  4 Hg 2.82, 4 Pd 2.82
Hg  0.2500  0.2500  0.2500  4 B 2.82, 4 Hg 2.82
B  0.5000  0.5000  0.5000  4 Pd 2.82, 4 Hg 2.82
Pd  0.7500  0.7500  0.7500  4 Hg 2.82, 4 B 2.82

Calculated values
- Space-group type: No. 216
- E_tot: -2.22 eV per atom


10.
Entry from the Open Quantum Materials Database: an optimized crystal structure of HgB2Pd (PBE-GGA).

Cell: 4.2812 4.2812 4.2812 Å, 60.00 60.00 60.00°
Last column: nearest neighbours and their distance in Å.
Sites, in units of the cell vectors:
Hg  0.0000  0.0000  0.0000  4 Pd 2.62, 4 B 2.62
B  0.2500  0.2500  0.2500  4 B 2.62, 4 Hg 2.62
B  0.5000  0.5000  0.5000  4 Pd 2.62, 4 B 2.62
Pd  0.7500  0.7500  0.7500  4 B 2.62, 4 Hg 2.62

Calculated values
- Space-group type: No. 216
- E_tot: -3.13 eV per atom


11.
Entry from the Open Quantum Materials Database: an optimized crystal structure of PmHgB (PBE-GGA).

Cell: 4.4303 4.4303 4.4303 Å, 60.00 60.00 60.00°
Last column: nearest neighbours and their distance in Å.
Sites, in units of the cell vectors:
Pm  0.0000  0.0000  0.0000  4 B 2.71
Hg  0.5000  0.5000  0.5000  4 B 2.71
B  0.7500  0.7500  0.7500  4 Hg 2.71, 4 Pm 2.71

Calculated values
- Space-group type: No. 216
- E_tot: -3.91 eV per atom


12.
Entry from the Open Quantum Materials Database: an optimized crystal structure of PrHgB (PBE-GGA).

Cell: 4.4919 4.4919 4.4919 Å, 60.00 60.00 60.00°
Last column: nearest neighbours and their distance in Å.
Sites, in units of the cell vectors:
Pr  0.0000  0.0000  0.0000  4 B 2.75
Hg  0.5000  0.5000  0.5000  4 B 2.75
B  0.7500  0.7500  0.7500  4 Hg 2.75, 4 Pr 2.75

Calculated values
- Space-group type: No. 216
- E_tot: -3.88 eV per atom


Which value of E_tot does entry 1 give? -4.39 eV per atom


Please write out number 11 again, unchanged.
Entry from the Open Quantum Materials Database: an optimized crystal structure of PmHgB (PBE-GGA).

Cell: 4.4303 4.4303 4.4303 Å, 60.00 60.00 60.00°
Last column: nearest neighbours and their distance in Å.
Sites, in units of the cell vectors:
Pm  0.0000  0.0000  0.0000  4 B 2.71
Hg  0.5000  0.5000  0.5000  4 B 2.71
B  0.7500  0.7500  0.7500  4 Hg 2.71, 4 Pm 2.71

Calculated values
- Space-group type: No. 216
- E_tot: -3.91 eV per atom


Look up the E_tot of the eleventh one. -3.91 eV per atom


What is the E_tot in the tenth record? -3.13 eV per atom